Compound: LaScRh2
Source: Alexandria
Functional: PBE-GGA
Structure: relaxed

The structure in POSCAR format:
```
LaScRh2
1.0
-3.638 3.638 3.172
3.638 -3.638 3.172
3.638 3.638 -3.172
La Sc Rh
2 2 4
Cartesian
0.000 0.000 0.000
0.000 3.638 1.586
3.638 0.000 1.586
0.000 0.000 3.172
1.819 -1.715 2.379
1.923 1.819 0.793
1.819 5.352 -0.793
1.715 1.819 3.965
```

Output
Formation energy in eV/atom: -0.494
D(E_F) in states/eV per cell: 1.5
Symmetry: I-42d, No. 122

Compound: La2ScSi3Rh4
Source: Alexandria
Functional: PBE-GGA
Structure: relaxed

The structure in POSCAR format:
```
La2ScSi3Rh4
1.0
4.161 0.000 0.000
0.000 4.161 0.000
0.000 0.000 10.695
La Sc Si Rh
2 1 3 4
Cartesian
0.000 2.081 2.578
2.081 0.000 8.117
0.000 0.000 5.347
0.000 2.081 9.421
2.081 0.000 1.273
2.081 2.081 5.347
0.000 0.000 0.000
0.000 2.081 6.940
2.081 0.000 3.755
2.081 2.081 0.000
```

Output
D(E_F) in states/eV per cell: 7.7
Symmetry: P-4m2, No. 115

Number 1: uncorrected energy -55.87 eV for the cell shown. Number 2: uncorrected energy -72.17 eV for the cell shown.